No. 1
First-principles (PBE) data for crystalline CuOs5 at its relaxed geometry, as listed in Alexandria.

Results
space group = P-62m (189)
relative energy among the computed polymorphs = 19 meV per atom
calculated formation energy = 0.1952 eV/atom
M_tot = 0.00 μB/cell

```
CuOs5
1.0
-3.753 -2.039 2.002
2.790 -2.497 -2.869
2.457 -1.174 3.410
Os Cu
5 1
direct
0.667 0.333 0.500
0.000 0.677 0.000
0.323 0.323 0.000
0.677 0.000 0.000
0.333 0.667 0.500
0.000 0.000 0.500
```

=====

No. 2
First-principles (PBE) data for crystalline CuOs at its relaxed geometry, as listed in Alexandria.

Results
space group = Cmme (67)
relative energy among the computed polymorphs = 250 meV per atom
calculated formation energy = 0.4517 eV/atom
M_tot = 0.00 μB/cell

```
CuOs
1.0
-2.557 -0.599 0.310
1.616 -0.396 2.056
-1.602 8.309 2.860
Os Cu
2 2
direct
0.500 0.500 0.248
0.000 0.000 0.502
0.000 0.000 0.992
0.500 0.500 0.758
```

=====

No. 3
First-principles (PBE) data for crystalline CuOs4 at its relaxed geometry, as listed in Alexandria.

Results
space group = I4/mmm (139)
relative energy among the computed polymorphs = 514 meV per atom
calculated formation energy = 0.8153 eV/atom
M_tot = 0.00 μB/cell

```
CuOs4
1.0
5.865 -0.396 2.459
3.393 4.299 3.256
-5.655 -2.882 -0.560
Os Cu
4 1
direct
0.750 0.250 0.500
0.604 0.604 0.000
0.396 0.396 0.000
0.250 0.750 0.500
0.000 0.000 0.000
```

=====

No. 4
First-principles (PBE) data for crystalline Cu3Os at its relaxed geometry, as listed in Alexandria.

Results
space group = Cmcm (63)
relative energy among the computed polymorphs = 28 meV per atom
calculated formation energy = 0.2142 eV/atom
M_tot = 0.00 μB/cell

```
Cu3Os
1.0
2.652 -4.521 0.000
2.652 4.521 0.000
0.000 0.000 4.271
Cu Os
6 2
direct
0.415 0.585 0.250
0.434 0.083 0.250
0.917 0.566 0.250
0.083 0.434 0.750
0.585 0.415 0.750
0.566 0.917 0.750
0.069 0.931 0.750
0.931 0.069 0.250
```

=====

No. 5
First-principles (PBE) data for crystalline Cu2Os at its relaxed geometry, as listed in Alexandria.

Results
space group = Cmcm (63)
relative energy among the computed polymorphs = 174 meV per atom
calculated formation energy = 0.3821 eV/atom
M_tot = 0.00 μB/cell

```
Cu2Os
1.0
1.907 -5.376 0.000
1.907 5.376 0.000
0.000 0.000 3.794
Cu Os
4 2
direct
0.592 0.408 0.250
0.408 0.592 0.750
0.255 0.745 0.250
0.745 0.255 0.750
0.924 0.076 0.250
0.076 0.924 0.750
```

=====

No. 6
First-principles (PBE) data for crystalline CuOs5 at its relaxed geometry, as listed in Alexandria.

Results
space group = Cmmm (65)
relative energy among the computed polymorphs = 127 meV per atom
calculated formation energy = 0.3030 eV/atom
M_tot = 0.00 μB/cell

```
CuOs5
1.0
1.915 -5.762 0.000
1.915 5.762 0.000
0.000 0.000 3.848
Os Cu
5 1
direct
0.332 0.668 0.500
0.000 0.000 0.500
0.828 0.172 0.000
0.172 0.828 0.000
0.668 0.332 0.500
0.500 0.500 0.000
```

=====

No. 7
First-principles (PBE) data for crystalline Cu3Os2 at its relaxed geometry, as listed in Alexandria.

Results
space group = R-3m (166)
relative energy among the computed polymorphs = 74 meV per atom
calculated formation energy = 0.2553 eV/atom
M_tot = 0.00 μB/cell

```
Cu3Os2
1.0
10.839 -1.327 0.004
10.839 1.327 0.004
10.675 0.000 2.296
Os Cu
2 3
direct
0.401 0.401 0.401
0.599 0.599 0.599
0.000 0.000 0.000
0.802 0.802 0.802
0.198 0.198 0.198
```

=====

No. 8
First-principles (PBE) data for crystalline Cu2Os at its relaxed geometry, as listed in Alexandria.

Results
space group = Pnma (62)
relative energy among the computed polymorphs = 159 meV per atom
calculated formation energy = 0.3678 eV/atom
M_tot = 0.00 μB/cell

```
Cu2Os
1.0
-1.920 -1.014 -4.746
-1.976 -2.967 1.433
-6.095 4.760 1.450
Os Cu
4 8
direct
0.902 0.750 0.071
0.402 0.750 0.429
0.098 0.250 0.929
0.598 0.250 0.571
0.129 0.250 0.257
0.371 0.750 0.757
0.899 0.750 0.410
0.871 0.750 0.743
0.601 0.250 0.910
0.399 0.750 0.090
0.629 0.250 0.243
0.101 0.250 0.590
```

=====

No. 9
First-principles (PBE) data for crystalline CuOs at its relaxed geometry, as listed in Alexandria.

Results
space group = Fddd (70)
relative energy among the computed polymorphs = 362 meV per atom
calculated formation energy = 0.5640 eV/atom
M_tot = 0.00 μB/cell

```
CuOs
1.0
-2.128 3.052 -1.878
-9.988 -0.218 10.964
3.999 5.090 3.744
Os Cu
16 16
direct
0.250 0.666 0.250
0.000 0.916 0.000
0.250 0.834 0.250
0.750 0.334 0.250
0.000 0.416 0.500
0.500 0.916 0.500
0.750 0.166 0.250
0.750 0.834 0.750
0.500 0.416 0.000
0.500 0.584 0.000
0.750 0.666 0.750
0.500 0.084 0.500
0.000 0.584 0.500
0.000 0.084 0.000
0.250 0.334 0.750
0.250 0.166 0.750
0.250 0.750 0.588
0.000 0.500 0.838
0.000 0.000 0.338
0.750 0.750 0.412
0.250 0.750 0.912
0.750 0.750 0.088
0.000 0.000 0.662
0.500 0.000 0.838
0.000 0.500 0.162
0.750 0.250 0.588
0.500 0.500 0.662
0.250 0.250 0.412
0.750 0.250 0.912
0.500 0.000 0.162
0.250 0.250 0.088
0.500 0.500 0.338
```

=====

No. 10
First-principles (PBE) data for crystalline CuOs2 at its relaxed geometry, as listed in Alexandria.

Results
space group = P6_3/mmc (194)
relative energy among the computed polymorphs = 535 meV per atom
calculated formation energy = 0.7509 eV/atom
M_tot = 0.00 μB/cell

```
CuOs2
1.0
5.131 0.000 0.000
2.566 4.444 0.000
0.000 0.000 8.201
Os Cu
8 4
direct
0.175 0.175 0.250
0.000 0.000 0.500
0.651 0.175 0.250
0.825 0.825 0.750
0.175 0.651 0.250
0.000 0.000 0.000
0.825 0.349 0.750
0.349 0.825 0.750
0.333 0.333 0.588
0.667 0.667 0.412
0.667 0.667 0.088
0.333 0.333 0.912
```

=====

No. 11
First-principles (PBE) data for crystalline Cu2Os at its relaxed geometry, as listed in Alexandria.

Results
space group = P-3m1 (164)
relative energy among the computed polymorphs = 33 meV per atom
calculated formation energy = 0.2411 eV/atom
M_tot = 0.00 μB/cell

```
Cu2Os
1.0
-2.202 1.274 0.727
0.443 -0.524 -2.555
-3.054 -5.635 0.627
Os Cu
1 2
direct
0.000 0.000 0.000
0.333 0.667 0.340
0.667 0.333 0.660
```

=====

No. 12
First-principles (PBE) data for crystalline Cu3Os2 at its relaxed geometry, as listed in Alexandria.

Results
space group = I4/mmm (139)
relative energy among the computed polymorphs = 0 meV per atom
calculated formation energy = 0.1818 eV/atom
M_tot = 0.00 μB/cell

```
Cu3Os2
1.0
-4.970 5.133 5.431
-4.103 7.563 2.548
2.939 -6.897 -4.932
Os Cu
2 3
direct
0.300 0.300 0.000
0.700 0.700 0.000
0.907 0.907 0.000
0.500 0.500 0.000
0.093 0.093 0.000
```